Computed, not measured: a geometry-optimized Nd2Tm3Pt4 structure at the PBE-GGA level of DFT.

Summary:
As for the crystal system: monoclinic. Its formation energy is -1.1841 eV per atom. The calculation puts the total magnetization at 0.000 μB/atom. For the uncorrected energy, the calculation gives -6.4189 eV per atom. The calculation puts the density of states at the Fermi level at 0.608 states/eV per atom.

Unit cell a=7.6048 b=7.6436 c=7.7495 alpha=90.00 beta=109.66 gamma=90.00
With the nearest neighbours (Å) after each atom.
Space group P2_1/c (No. 14)
Inequivalent atoms, fractional coordinates:
1 Nd 0.1952 0.1766 0.0778 (multiplicity 4)  6 Pt 3.00-3.26
2 Tm 0.2460 0.6632 0.2478 (multiplicity 4)  6 Pt 2.83-2.98
3 Tm 0.5000 0.0000 0.5000 (multiplicity 2)  6 Pt 2.95-3.05
4 Pt 0.0905 0.5403 0.8608 (multiplicity 4)  4 Tm 2.83-2.98, 1 Pt 2.99, 1 Nd 3.06
5 Pt 0.4986 0.1350 0.8705 (multiplicity 4)  5 Tm 2.86-3.05, 1 Pt 2.87, 1 Nd 3.00


Computed, not measured: a geometry-optimized Dy2Zn2Ni5Sn structure at the PBE-GGA level of DFT.

Summary:
As for the crystal system: tetragonal. Its formation energy is -0.3296 eV per atom. The calculation puts the total magnetization at 0.000 μB/atom. For the uncorrected energy, the calculation gives -4.7957 eV per atom. The calculation puts the density of states at the Fermi level at 0.505 states/eV per atom.

Unit cell a=9.3270 b=9.3270 c=3.6336 alpha=90.00 beta=90.00 gamma=90.00
With the nearest neighbours (Å) after each atom.
Space group P4/mbm (No. 127)
Inequivalent atoms, fractional coordinates:
1 Dy 0.1799 0.3201 0.0000 (multiplicity 4)  3 Zn 2.70-2.82, 2 Ni 2.99
2 Zn 0.1157 0.6157 0.0000 (multiplicity 4)  6 Ni 2.37-2.47
3 Ni 0.0000 0.5000 0.5000 (multiplicity 2)  4 Zn 2.37
4 Ni 0.0632 0.7869 0.5000 (multiplicity 8)  2 Zn 2.47, 1 Ni 2.74, 2 Sn 2.76
5 Sn 0.0000 0.0000 0.0000 (multiplicity 2)  8 Ni 2.76


Computed, not measured: a geometry-optimized TeAs structure at the PBE-GGA level of DFT.

Summary:
As for the crystal system: monoclinic. The value obtained for the uncorrected formation energy is 100 meV per atom. The calculation puts the total magnetization at 0.000 μB/atom. For the uncorrected energy, the calculation gives -3.7955 eV per atom. The calculation puts the density of states at the Fermi level at 0.131 states/eV per atom.

Unit cell a=8.0621 b=7.6623 c=4.6055 alpha=90.00 beta=117.26 gamma=90.00
With the nearest neighbours (Å) after each atom.
Space group Cm (No. 8)
Inequivalent atoms, fractional coordinates:
1 Te 0.0000 0.2413 0.0000 (multiplicity 4)  2 As 2.67-2.68
2 As 0.0466 0.5000 0.4210 (multiplicity 2)  1 As 2.60, 2 Te 2.68
3 As 0.2220 0.0000 0.4123 (multiplicity 2)  1 As 2.60, 2 Te 2.67


Computed, not measured: a geometry-optimized Hf4Pd3Pt2 structure at the PBE-GGA level of DFT.

Summary:
As for the crystal system: monoclinic. Its formation energy is -0.8094 eV per atom. The calculation puts the total magnetization at 0.000 μB/atom. For the uncorrected energy, the calculation gives -8.3065 eV per atom. The calculation puts the density of states at the Fermi level at 0.750 states/eV per atom.

Unit cell a=8.7367 b=4.2611 c=8.8478 alpha=90.00 beta=100.13 gamma=90.00
With the nearest neighbours (Å) after each atom.
Space group C2/m (No. 12)
Inequivalent atoms, fractional coordinates:
1 Hf 0.0334 0.0000 0.3386 (multiplicity 4)  6 Pd 2.71-2.98, 2 Pt 2.87, 1 Hf 3.01
2 Hf 0.1575 0.5000 0.8817 (multiplicity 4)  4 Pt 2.72-2.92, 4 Pd 2.83-2.99
3 Pd 0.0000 0.0000 0.0000 (multiplicity 2)  8 Hf 2.83-2.99, 4 Pt 3.03
4 Pd 0.1579 0.5000 0.5489 (multiplicity 4)  6 Hf 2.71-2.98, 3 Pd 2.74-2.89
5 Pt 0.1812 0.5000 0.2005 (multiplicity 4)  6 Hf 2.72-2.92, 2 Pd 3.03


Computed, not measured: a geometry-optimized Ca2ScHg structure at the PBE-GGA level of DFT.

Summary:
As for the crystal system: tetragonal. Its formation energy is -0.0183 eV per atom. The calculation puts the total magnetization at 0.000 μB/atom. For the uncorrected energy, the calculation gives -2.6774 eV per atom. The calculation puts the density of states at the Fermi level at 1.558 states/eV per atom.

Unit cell a=4.8754 b=4.8754 c=9.6229 alpha=90.00 beta=90.00 gamma=90.00
With the nearest neighbours (Å) after each atom.
Space group I-4m2 (No. 119)
Inequivalent atoms, fractional coordinates:
1 Ca 0.0000 0.0000 0.0000 (multiplicity 2)  4 Hg 3.42, 4 Ca 3.42, 4 Sc 3.45
2 Ca 0.0000 0.5000 0.2500 (multiplicity 2)  4 Ca 3.42, 4 Sc 3.42, 4 Hg 3.45
3 Sc 0.0000 0.0000 0.5000 (multiplicity 2)  4 Hg 3.42, 8 Ca 3.42-3.45
4 Hg 0.0000 0.5000 0.7500 (multiplicity 2)  8 Ca 3.42-3.45, 4 Sc 3.42


Computed, not measured: a geometry-optimized AcSm2Tl2 structure at the PBE-GGA level of DFT.

Summary:
As for the crystal system: tetragonal. Its formation energy is -0.2937 eV per atom. The calculation puts the total magnetization at 0.000 μB/atom. For the uncorrected energy, the calculation gives -3.9496 eV per atom. The calculation puts the density of states at the Fermi level at 1.074 states/eV per atom.

Unit cell a=9.2840 b=9.2840 c=3.8391 alpha=90.00 beta=90.00 gamma=90.00
With the nearest neighbours (Å) after each atom.
Space group P4/mbm (No. 127)
Inequivalent atoms, fractional coordinates:
1 Ac 0.0000 0.0000 0.0000 (multiplicity 2)  4 Tl 3.50, 2 Ac 3.84
2 Sm 0.1445 0.3555 0.5000 (multiplicity 4)  6 Tl 3.23-3.40
3 Tl 0.1577 0.6577 0.0000 (multiplicity 4)  6 Sm 3.23-3.40, 2 Ac 3.50


Computed, not measured: a geometry-optimized Nd12Y6In structure at the PBE-GGA level of DFT.

Summary:
As for the crystal system: trigonal. Its formation energy is 0.0631 eV per atom. The calculation puts the total magnetization at 0.000 μB/atom. For the uncorrected energy, the calculation gives -5.1335 eV per atom. The calculation puts the density of states at the Fermi level at 1.647 states/eV per atom.

Unit cell a=12.1311 b=12.1311 c=15.3265 alpha=90.00 beta=90.00 gamma=120.00
With the nearest neighbours (Å) after each atom.
Space group R-3 (No. 148, hexagonal axes)
Inequivalent atoms, fractional coordinates:
1 Nd 0.0055 0.8305 0.3126 (multiplicity 18)  4 Y 3.53-3.77, 5 Nd 3.54-3.93, 1 In 3.55
2 Nd 0.0474 0.2003 0.9158 (multiplicity 18)  3 Y 3.38-3.58, 4 Nd 3.39-3.70
3 Y 0.0239 0.5902 0.1901 (multiplicity 18)  7 Nd 3.38-3.77, 1 In 3.41, 2 Y 3.46
4 In 0.0000 0.0000 0.5000 (multiplicity 3)  6 Y 3.41, 6 Nd 3.55


Computed, not measured: a geometry-optimized Pr3GeP2Pt9 structure at the PBE-GGA level of DFT.

Summary:
As for the crystal system: trigonal. Its formation energy is -0.7244 eV per atom. The calculation puts the total magnetization at 0.000 μB/atom. For the uncorrected energy, the calculation gives -6.3339 eV per atom. The calculation puts the density of states at the Fermi level at 0.390 states/eV per atom.

Unit cell a=6.4398 b=6.4398 c=8.5807 alpha=90.00 beta=90.00 gamma=120.00
With the nearest neighbours (Å) after each atom.
Space group P-3m1 (No. 164)
Inequivalent atoms, fractional coordinates:
1 Pr 0.0000 0.0000 0.0000 (multiplicity 1)  12 Pt 2.97-3.22
2 Pr 0.3333 0.6667 0.6593 (multiplicity 2)  9 Pt 3.26-3.46
3 Ge 0.0000 0.0000 0.5000 (multiplicity 1)  6 Pt 2.47
4 P 0.3333 0.6667 0.1780 (multiplicity 2)  6 Pt 2.25-2.41
5 Pt 0.0000 0.5000 0.0000 (multiplicity 3)  2 P 2.41
6 Pt 0.1493 0.2986 0.2867 (multiplicity 6)  1 P 2.25, 1 Ge 2.47


Computed, not measured: a geometry-optimized NaYHg2W structure at the PBE-GGA level of DFT.

Summary:
As for the crystal system: tetragonal. Its formation energy is 1.2435 eV per atom. The calculation puts the total magnetization at 0.518 μB/atom. For the uncorrected energy, the calculation gives -3.0245 eV per atom. The calculation puts the density of states at the Fermi level at 0.756 states/eV per atom.

Unit cell a=4.9771 b=4.9771 c=5.1719 alpha=90.00 beta=90.00 gamma=90.00
With the nearest neighbours (Å) after each atom.
Space group P4/mmm (No. 123)
Inequivalent atoms, fractional coordinates:
1 Na 0.0000 0.0000 0.0000 (multiplicity 1)  4 Hg 2.49, 2 W 2.59
2 Y 0.5000 0.5000 0.5000 (multiplicity 1)  4 W 3.52, 8 Hg 3.59
3 Hg 0.0000 0.5000 0.0000 (multiplicity 2)  2 Na 2.49
4 W 0.0000 0.0000 0.5000 (multiplicity 1)  2 Na 2.59


Computed, not measured: a geometry-optimized Pm2Er2Ag3 structure at the PBE-GGA level of DFT.

Summary:
As for the crystal system: triclinic. Its formation energy is -0.1501 eV per atom. The calculation puts the total magnetization at 0.001 μB/atom. For the uncorrected energy, the calculation gives -4.0330 eV per atom. The calculation puts the density of states at the Fermi level at 1.057 states/eV per atom.

Unit cell a=5.0950 b=5.1021 c=8.9363 alpha=106.57 beta=90.05 gamma=119.90
With the nearest neighbours (Å) after each atom.
Space group P-1 (No. 2)
Inequivalent atoms, fractional coordinates:
1 Pm 0.1278 0.2524 0.3788 (multiplicity 2)  5 Ag 3.17-3.22
2 Er 0.3758 0.7504 0.1259 (multiplicity 2)  7 Ag 3.08-3.13
3 Ag 0.0000 0.0000 0.0000 (multiplicity 1)  6 Er 3.13, 2 Pm 3.20
4 Ag 0.2533 0.5072 0.7606 (multiplicity 2)  4 Er 3.08-3.10, 4 Pm 3.17-3.22